Record 1
TiTl2PbS4 | PBE | optimized geometry

Calculated values
formation energy (no corrections) = -0.7324 eV per atom
theoretical density = 5.3 Mg/m³
total magnetic moment = 0.00 μB/f.u.

POSCAR file:
```
TiTl2PbS4
1.0
8.455 0.000 0.000
0.000 9.441 0.000
0.000 0.000 6.218
Ti Tl Pb S
2 4 2 8
Direct
0.000 0.183 0.000
0.500 0.817 0.500
0.207 0.645 0.114
0.293 0.355 0.614
0.707 0.355 0.614
0.793 0.645 0.114
0.000 0.897 0.612
0.500 0.103 0.112
0.000 0.201 0.636
0.000 0.944 0.057
0.230 0.295 0.100
0.270 0.705 0.600
0.500 0.056 0.557
0.500 0.799 0.136
0.730 0.705 0.600
0.770 0.295 0.100
```

Record 2
HoTh2Ge3Pt4 | PBE | optimized geometry

Calculated values
theoretical density = 13.0 Mg/m³
electronic total energy = -6.70 eV/atom
total magnetic moment = 0.00 μB/f.u.

POSCAR file:
```
HoTh2Ge3Pt4
1.0
4.286 0.000 0.000
0.000 4.286 0.000
0.000 0.000 11.282
Ho Th Ge Pt
1 2 3 4
Direct
0.000 0.000 0.000
0.000 0.500 0.721
0.500 0.000 0.279
0.000 0.500 0.375
0.500 0.000 0.625
0.500 0.500 0.000
0.000 0.000 0.500
0.000 0.500 0.157
0.500 0.000 0.843
0.500 0.500 0.500
```

Record 3
CaRhBr2 | PBE | optimized geometry

Calculated values
formation energy (no corrections) = -0.6311 eV per atom
theoretical density = 5.5 Mg/m³
total magnetic moment = 1.00 μB/f.u.
energy relative to the lowest polymorph listed for this composition = 187 meV per atom

POSCAR file:
```
CaRhBr2
1.0
2.256 1.303 5.199
-2.256 1.303 5.199
0.000 -2.605 5.199
Ca Rh Br
1 1 2
Direct
0.000 0.000 0.000
0.500 0.500 0.500
0.239 0.239 0.239
0.761 0.761 0.761
```

Record 4
NaAc2Bi | PBE | optimized geometry

Calculated values
theoretical density = 7.8 Mg/m³
total magnetic moment = 0.00 μB/f.u.
energy relative to the lowest polymorph listed for this composition = 0 meV per atom

POSCAR file:
```
NaAc2Bi
1.0
5.570 0.000 0.000
0.000 5.570 0.000
0.000 0.000 4.694
Na Ac Bi
1 2 1
Direct
0.000 0.000 0.000
0.000 0.500 0.500
0.500 0.000 0.500
0.500 0.500 0.000
```

Record 5
LaTeC | PBE | optimized geometry

Calculated values
formation energy (no corrections) = -0.7227 eV per atom
theoretical density = 5.3 Mg/m³
total magnetic moment = 0.00 μB/f.u.

POSCAR file:
```
LaTeC
1.0
-2.199 2.343 8.407
2.199 -2.343 8.407
2.199 2.343 -8.407
La Te C
2 2 2
Direct
0.125 0.125 0.000
0.875 0.875 0.000
0.325 0.325 0.000
0.675 0.675 0.000
0.000 0.357 0.357
0.000 0.643 0.643
```

Record 6
NaGeH2 | PBE | optimized geometry

Calculated values
theoretical density = 3.3 Mg/m³
total magnetic moment = 0.00 μB/f.u.
energy relative to the lowest polymorph listed for this composition = 268 meV per atom

POSCAR file:
```
NaGeH2
1.0
0.000 2.894 2.894
2.894 0.000 2.894
2.894 2.894 0.000
Na Ge H
1 1 2
Direct
0.000 0.000 0.000
0.500 0.500 0.500
0.250 0.250 0.250
0.750 0.750 0.750
```

Record 7
CaSm8Er2 | PBE | optimized geometry

Calculated values
theoretical density = 7.1 Mg/m³
electronic total energy = -4.41 eV/atom
total magnetic moment = 0.00 μB/f.u.

POSCAR file:
```
CaSm8Er2
1.0
9.240 -2.562 0.000
9.240 2.562 0.000
-2.121 0.000 7.818
Ca Sm Er
1 8 2
Direct
0.000 0.000 0.000
0.093 0.093 0.461
0.185 0.185 0.910
0.359 0.359 0.809
0.453 0.453 0.281
0.547 0.547 0.719
0.641 0.641 0.191
0.815 0.815 0.090
0.907 0.907 0.539
0.273 0.273 0.364
0.727 0.727 0.636
```

Record 8
Nd2Re3Si5 | PBE | optimized geometry

Calculated values
formation energy (no corrections) = -0.5630 eV per atom
theoretical density = 9.4 Mg/m³
total magnetic moment = 0.00 μB/f.u.

POSCAR file:
```
Nd2Re3Si5
1.0
11.038 0.000 0.000
0.000 11.038 0.000
0.000 0.000 5.716
Nd Re Si
8 12 20
Direct
0.077 0.237 0.000
0.237 0.923 0.000
0.263 0.423 0.500
0.423 0.737 0.500
0.577 0.263 0.500
0.737 0.577 0.500
0.763 0.077 0.000
0.923 0.763 0.000
0.000 0.500 0.250
0.000 0.500 0.750
0.125 0.852 0.500
0.148 0.125 0.500
0.352 0.625 0.000
0.375 0.352 0.000
0.500 0.000 0.250
0.500 0.000 0.750
0.625 0.648 0.000
0.648 0.375 0.000
0.852 0.875 0.500
0.875 0.148 0.500
0.000 0.000 0.261
0.000 0.000 0.739
0.024 0.316 0.500
0.171 0.671 0.250
0.171 0.671 0.750
0.184 0.476 0.000
0.316 0.976 0.500
0.329 0.171 0.250
0.329 0.171 0.750
0.476 0.816 0.000
0.500 0.500 0.239
0.500 0.500 0.761
0.524 0.184 0.000
0.671 0.829 0.250
0.671 0.829 0.750
0.684 0.024 0.500
0.816 0.524 0.000
0.829 0.329 0.250
0.829 0.329 0.750
0.976 0.684 0.500
```